[1]
VASP calculation (PBE-GGA) on crystalline ErSnRu2 at its relaxed geometry.

Values from the calculation:
Energy of formation from the pure elements, eV per atom: -0.4109
Total magnetic moment, Bohr magnetons per cell: 0.0

Cell lengths 3.3662, 4.5879, 4.5879 Å; angles 90.00, 90.00, 90.00 degrees
Fractional coordinates of all 4 atoms:
Ru1 0.0000 0.5000 0.0000
Er1 0.5000 0.5000 0.5000
Sn1 0.5000 0.0000 0.0000
Ru2 0.0000 0.0000 0.5000

---

[2]
VASP calculation (PBE-GGA) on crystalline ErThSn4Ru2 at its relaxed geometry.

Values from the calculation:
Energy of formation from the pure elements, eV per atom: -0.2987
Total magnetic moment, Bohr magnetons per cell: 0.0

Cell lengths 4.3191, 4.3191, 10.6025 Å; angles 90.00, 90.00, 90.00 degrees
Fractional coordinates of all 8 atoms:
Sn1 0.5000 0.0000 0.7773
Sn2 0.0000 0.5000 0.2227
Ru1 0.5000 0.5000 0.6108
Er1 0.0000 0.0000 0.0000
Sn3 0.5000 0.0000 0.2227
Th1 0.0000 0.0000 0.5000
Ru2 0.5000 0.5000 0.3892
Sn4 0.0000 0.5000 0.7773

---

> Which value of total magnetic moment does entry 1 give?

0.0 Bohr magnetons per cell

---

> Which value of total magnetic moment does entry 1 give?

0.0 Bohr magnetons per cell